# BaRhCl2 (PBE, optimized geometry)
data_BaRhCl2
_space_group_name_H-M_alt 'C 1 m 1'
_space_group_IT_number 8
_cell_length_a 11.353
_cell_length_b 4.425
_cell_length_c 4.856
_cell_angle_alpha 90.00
_cell_angle_beta 100.12
_cell_angle_gamma 90.00
loop_
_space_group_symop_operation_xyz
'x,y,z'
'x,-y,z'
'x+1/2,y+1/2,z'
'x+1/2,-y+1/2,z'
loop_
_atom_site_label
_atom_site_type_symbol
_atom_site_fract_x
_atom_site_fract_y
_atom_site_fract_z
_atom_site_occupancy
Ba1 Ba 0.000 0.000 0.000 1
Rh1 Rh 0.208 0.500 0.849 1
Cl1 Cl 0.013 0.500 0.489 1
Cl2 Cl 0.267 0.000 0.906 1
# - Formation energy without anion corrections: -1020 meV per atom
# - Excess energy over the best structure of this formula in the dataset: 65 meV/atom
# - Theoretical density: 4.3 g/cm³
# - Magnetic moment: 2.02 μB per cell